No. 1
Material: NaHf2P3O12
Method: DFT, SCAN
State: single point on PBEsol structure

The density of states at the Fermi level comes out at 0.00 states/eV/f.u. The value obtained for the spin magnetization is 0.0 Bohr magnetons per cell. The value obtained for the total energy is -16.1307 eV/atom.

It has space group R-3c (No. 167, hexagonal axes), with a = 8.8007 Å, b = 8.8007 Å, c = 22.5723 Å, α = 90.00°, β = 90.00° and γ = 120.00°. Symmetry generates all atoms from Na at (0.0000, 0.0000, 0.0000), Hf at (0.0000, 0.0000, 0.1447), P at (0.0000, 0.2906, 0.2500), O at (0.0146, 0.1984, 0.1943) and O at (0.0235, 0.1923, 0.9136).



No. 2
Material: BaMnGa3
Method: DFT, SCAN
State: single point on PBEsol structure

The density of states at the Fermi level comes out at 1.71 states/eV/f.u. The value obtained for the spin magnetization is 0.0 Bohr magnetons per cell. The value obtained for the total energy is -21.7382 eV/atom. As for the energy relative to the elements: -0.369 eV/atom.

It has space group Pm-3m (No. 221), with a = 4.7002 Å, b = 4.7002 Å, c = 4.7002 Å, α = 90.00°, β = 90.00° and γ = 90.00°. Symmetry generates all atoms from Ba at (0.0000, 0.0000, 0.0000), Mn at (0.5000, 0.5000, 0.5000) and Ga at (0.0000, 0.5000, 0.5000).



No. 3
Material: LiTaIr
Method: DFT, SCAN
State: single point on PBEsol structure

The density of states at the Fermi level comes out at 1.59 states/eV/f.u. The value obtained for the spin magnetization is 0.0 Bohr magnetons per cell. The value obtained for the total energy is -47.0260 eV/atom. As for the energy relative to the elements: -0.335 eV/atom.

It has space group Imm2 (No. 44), with a = 2.8147 Å, b = 3.8768 Å, c = 7.9360 Å, α = 90.00°, β = 90.00° and γ = 90.00°. Symmetry generates all atoms from Li at (0.0000, 0.0000, 0.0000), Ta at (0.0000, 0.0000, 0.6775) and Ir at (0.0000, 0.0000, 0.3434).